Record 1
First-principles (PBE-GGA) data for a geometry-optimized PrLuThTl structure, as listed in Alexandria.

* energy relative to the elements: 2 kJ/mol of atoms

Unit cell a=7.8657 b=7.8657 c=7.8657 alpha=90.00 beta=90.00 gamma=90.00
Space group F-43m (No. 216)
Asymmetric unit:
Pr (0.0000, 0.0000, 0.0000) x4
Lu (0.2500, 0.2500, 0.2500) x4
Th (0.0000, 0.0000, 0.5000) x4
Tl (0.2500, 0.2500, 0.7500) x4

---

Record 2
First-principles (PBE-GGA) data for a geometry-optimized LiCd structure, as listed in Alexandria.

* energy relative to the elements: -1 kJ/mol of atoms

Unit cell a=5.5616 b=5.5616 c=5.5616 alpha=90.00 beta=90.00 gamma=90.00
Space group Fm-3m (No. 225)
Asymmetric unit:
Li (0.0000, 0.0000, 0.0000) x4
Cd (0.0000, 0.0000, 0.5000) x4

---

Record 3
First-principles (PBE-GGA) data for a geometry-optimized Mg4CrIn structure, as listed in Alexandria.

* energy relative to the elements: 27 kJ/mol of atoms

Unit cell a=8.1230 b=8.1230 c=8.1230 alpha=90.00 beta=90.00 gamma=90.00
Space group F-43m (No. 216)
Asymmetric unit:
Mg (0.1245, 0.1245, 0.1245) x16
Cr (0.2500, 0.2500, 0.7500) x4
In (0.0000, 0.0000, 0.5000) x4

---

Record 4
First-principles (PBE-GGA) data for a geometry-optimized ZrZn2FeW structure, as listed in Alexandria.

* energy relative to the elements: 186 kJ/mol of atoms

Unit cell a=4.8454 b=4.8454 c=4.2716 alpha=90.00 beta=90.00 gamma=90.00
Space group P4/mmm (No. 123)
Asymmetric unit:
Zr (0.0000, 0.0000, 0.0000) x1
Zn (0.0000, 0.5000, 0.0000) x2
Fe (0.0000, 0.0000, 0.5000) x1
W (0.5000, 0.5000, 0.5000) x1

---

Record 5
First-principles (PBE-GGA) data for a geometry-optimized La4Pr3YSe8 structure, as listed in Alexandria.

* E_form (uncorrected): -1912 meV/atom

Unit cell a=8.5481 b=8.5481 c=20.8602 alpha=90.00 beta=90.00 gamma=120.00
Space group R-3m (No. 166, hexagonal axes)
Asymmetric unit:
La (0.0000, 0.0000, 0.0000) x3
La (0.0000, 0.5000, 0.0000) x9
Pr (0.0000, 0.5000, 0.5000) x9
Y (0.0000, 0.0000, 0.5000) x3
Se (0.0000, 0.0000, 0.2495) x6
Se (0.0078, 0.5039, 0.2475) x18

---

Record 6
First-principles (PBE-GGA) data for a geometry-optimized Tb3Pr5Y2 structure, as listed in Alexandria.

* energy relative to the lowest polymorph listed for this composition: 0 meV per atom
* energy relative to the elements: 4 kJ/mol of atoms

Unit cell a=12.2372 b=16.3720 c=6.8190 alpha=90.00 beta=93.77 gamma=90.00
Space group C2/c (No. 15)
Asymmetric unit:
Tb (0.0000, 0.0395, 0.2500) x4
Tb (0.1252, 0.3494, 0.6315) x8
Pr (0.0000, 0.4567, 0.2500) x4
Pr (0.1233, 0.1537, 0.6208) x8
Pr (0.2482, 0.0401, 0.9966) x8
Y (0.1252, 0.2506, 0.1265) x8

---

Record 7
First-principles (PBE-GGA) data for a geometry-optimized Li2Th3Au4 structure, as listed in Alexandria.

* energy relative to the lowest polymorph listed for this composition: 95 meV per atom
* energy relative to the elements: -44 kJ/mol of atoms

Unit cell a=11.5032 b=10.5625 c=7.1302 alpha=90.00 beta=100.23 gamma=90.00
Space group C2/c (No. 15)
Asymmetric unit:
Li (0.1765, 0.1496, 0.4537) x8
Th (0.0000, 0.1042, 0.7500) x4
Th (0.1397, 0.3745, 0.1200) x8
Au (0.1036, 0.3444, 0.6270) x8
Au (0.1740, 0.0785, 0.1163) x8

---

Record 8
First-principles (PBE-GGA) data for a geometry-optimized LiSmTlHg structure, as listed in Alexandria.

* energy relative to the elements: -38 kJ/mol of atoms

Unit cell a=7.2983 b=7.2983 c=7.2983 alpha=90.00 beta=90.00 gamma=90.00
Space group F-43m (No. 216)
Asymmetric unit:
Li (0.0000, 0.0000, 0.0000) x4
Sm (0.0000, 0.0000, 0.5000) x4
Tl (0.2500, 0.2500, 0.2500) x4
Hg (0.2500, 0.2500, 0.7500) x4

---

Record 9
First-principles (PBE-GGA) data for a geometry-optimized BaDyB2O6 structure, as listed in Alexandria.

* E_form (uncorrected): -2735 meV/atom

Unit cell a=8.4083 b=10.0227 c=6.9796 alpha=90.00 beta=110.17 gamma=90.00
Space group C2/c (No. 15)
Asymmetric unit:
Ba (0.0000, 0.1367, 0.2500) x4
Dy (0.0000, 0.4119, 0.7500) x4
B (0.2396, 0.3742, 0.2511) x8
O (0.0832, 0.3838, 0.0962) x8
O (0.1737, 0.2441, 0.7120) x8
O (0.2099, 0.0165, 0.6239) x8

---

Record 10
First-principles (PBE-GGA) data for a geometry-optimized ErHfS2 structure, as listed in Alexandria.

* E_form (uncorrected): -1542 meV/atom
* energy relative to the lowest polymorph listed for this composition: 0 meV per atom

Unit cell a=3.7570 b=3.7570 c=18.3007 alpha=90.00 beta=90.00 gamma=120.00
Space group R-3m (No. 166, hexagonal axes)
Asymmetric unit:
Er (0.0000, 0.0000, 0.0000) x3
Hf (0.0000, 0.0000, 0.5000) x3
S (0.0000, 0.0000, 0.2454) x6

---

Record 11
First-principles (PBE-GGA) data for a geometry-optimized BeAlFe2 structure, as listed in Alexandria.

* energy relative to the elements: -14 kJ/mol of atoms

Unit cell a=5.1315 b=6.6294 c=2.6113 alpha=90.00 beta=90.00 gamma=90.00
Space group Cmmm (No. 65)
Asymmetric unit:
Be (0.0000, 0.0000, 0.0000) x2
Al (0.0000, 0.5000, 0.0000) x2
Fe (0.2500, 0.2500, 0.5000) x4

---

Record 12
First-principles (PBE-GGA) data for a geometry-optimized AgHg2PdW structure, as listed in Alexandria.

* energy relative to the elements: 117 kJ/mol of atoms

Unit cell a=5.3171 b=5.3171 c=4.8248 alpha=90.00 beta=90.00 gamma=90.00
Space group P4/mmm (No. 123)
Asymmetric unit:
Ag (0.0000, 0.0000, 0.0000) x1
Hg (0.0000, 0.5000, 0.5000) x2
Pd (0.5000, 0.5000, 0.0000) x1
W (0.5000, 0.5000, 0.5000) x1